1.
# Sr2Ge3SbRh4

A relaxed structure of Sr2Ge3SbRh4 (PBE-GGA, Alexandria via LeMat-Bulk).

```
Sr2Ge3SbRh4
1.0
4.408 0.000 0.000
0.000 4.408 0.000
0.000 0.000 10.273
Sr Ge Sb Rh
2 3 1 4
direct
0.000 0.500 0.246
0.500 0.000 0.754
0.000 0.500 0.879
0.500 0.000 0.121
0.500 0.500 0.500
0.000 0.000 0.500
0.000 0.000 0.000
0.000 0.500 0.635
0.500 0.000 0.365
0.500 0.500 0.000
```

uncorrected energy	-5.7800	eV per atom
raw formation energy	-0.706	eV per atom
space group	P-4m2

***

2.
# SrGeSbRh3

A relaxed structure of SrGeSbRh3 (PBE-GGA, Alexandria via LeMat-Bulk).

```
SrGeSbRh3
1.0
2.967 -7.740 0.000
2.967 7.740 0.000
0.000 0.000 5.912
Sr Ge Sb Rh
2 2 2 6
direct
0.234 0.766 0.750
0.766 0.234 0.250
0.087 0.913 0.250
0.913 0.087 0.750
0.405 0.595 0.250
0.595 0.405 0.750
0.241 0.759 0.250
0.242 0.242 0.000
0.242 0.242 0.500
0.758 0.758 0.000
0.758 0.758 0.500
0.759 0.241 0.750
```

uncorrected energy	-5.8955	eV per atom
raw formation energy	-0.483	eV per atom
space group	Cmcm

***

3.
# Tb2Ge2SbRh5

A relaxed structure of Tb2Ge2SbRh5 (PBE-GGA, Alexandria via LeMat-Bulk).

```
Tb2Ge2SbRh5
1.0
9.825 0.000 0.000
0.000 9.825 0.000
0.000 0.000 3.654
Tb Ge Sb Rh
4 4 2 10
direct
0.176 0.324 0.000
0.324 0.824 0.000
0.676 0.176 0.000
0.824 0.676 0.000
0.121 0.621 0.000
0.379 0.121 0.000
0.621 0.879 0.000
0.879 0.379 0.000
0.000 0.000 0.000
0.500 0.500 0.000
0.000 0.500 0.500
0.068 0.789 0.500
0.211 0.068 0.500
0.289 0.568 0.500
0.432 0.289 0.500
0.500 0.000 0.500
0.568 0.711 0.500
0.711 0.432 0.500
0.789 0.932 0.500
0.932 0.211 0.500
```

uncorrected energy	-6.7255	eV per atom
raw formation energy	-0.788	eV per atom
space group	P4/mbm

***

4.
# TcGe2SbRh

A relaxed structure of TcGe2SbRh (PBE-GGA, Alexandria via LeMat-Bulk).

```
TcGe2SbRh
1.0
4.617 0.000 0.000
0.000 4.617 0.000
0.000 0.000 5.462
Tc Ge Sb Rh
1 2 1 1
direct
0.000 0.000 0.000
0.000 0.500 0.500
0.500 0.000 0.500
0.500 0.500 0.000
0.500 0.500 0.500
```

uncorrected energy	-5.4054	eV per atom
raw formation energy	0.810	eV per atom
space group	P4/mmm

***

5.
# GeSb2TeRh

A relaxed structure of GeSb2TeRh (PBE-GGA, Alexandria via LeMat-Bulk).

```
GeSb2TeRh
1.0
5.023 0.000 0.000
0.000 5.023 0.000
0.000 0.000 5.574
Ge Sb Te Rh
1 2 1 1
direct
0.000 0.000 0.000
0.000 0.500 0.500
0.500 0.000 0.500
0.500 0.500 0.000
0.500 0.500 0.500
```

relative energy among the computed polymorphs	0	meV/atom
uncorrected energy	-4.2619	eV per atom
raw formation energy	0.409	eV per atom
space group	P4/mmm

***

6.
# GeSb2TeRh

A relaxed structure of GeSb2TeRh (PBE-GGA, Alexandria via LeMat-Bulk).

```
GeSb2TeRh
1.0
5.213 0.000 0.000
0.000 5.213 0.000
0.000 0.000 5.236
Ge Sb Te Rh
1 2 1 1
direct
0.000 0.000 0.000
0.000 0.500 0.000
0.500 0.000 0.000
0.000 0.000 0.500
0.500 0.500 0.500
```

relative energy among the computed polymorphs	634	meV/atom
uncorrected energy	-3.6282	eV per atom
raw formation energy	1.043	eV per atom
space group	P4/mmm